# 1
{"formula": "HfTaFeRe", "functional": "PBE", "state": "relaxed", "e_form_ev_per_atom": -0.32, "total_magnetization_mub_per_cell": 0.00, "dft_energy_ev_per_atom": -10.996, "lattice_angstrom": [[6.3517, 0.0000, 0.0000], [0.0000, 6.3517, 0.0000], [0.0000, 0.0000, 6.3517]], "species": ["Hf", "Hf", "Hf", "Hf", "Ta", "Ta", "Ta", "Ta", "Fe", "Fe", "Fe", "Fe", "Re", "Re", "Re", "Re"], "fractional_positions": [[0.0000, 0.0000, 0.0000], [0.0000, 0.5000, 0.5000], [0.5000, 0.0000, 0.5000], [0.5000, 0.5000, 0.0000], [0.0000, 0.0000, 0.5000], [0.0000, 0.5000, 0.0000], [0.5000, 0.0000, 0.0000], [0.5000, 0.5000, 0.5000], [0.2500, 0.2500, 0.2500], [0.2500, 0.7500, 0.7500], [0.7500, 0.2500, 0.7500], [0.7500, 0.7500, 0.2500], [0.2500, 0.2500, 0.7500], [0.2500, 0.7500, 0.2500], [0.7500, 0.2500, 0.2500], [0.7500, 0.7500, 0.7500]]}

---

# 2
{"formula": "YAl11Cu", "functional": "PBE", "state": "relaxed", "e_form_ev_per_atom": -0.11, "total_magnetization_mub_per_cell": 0.00, "dft_energy_ev_per_atom": -4.088, "lattice_angstrom": [[2.6176, -6.3033, 0.0000], [2.6176, 6.3033, 0.0000], [-2.2486, 0.0000, 6.8019]], "species": ["Y", "Al", "Al", "Al", "Al", "Al", "Al", "Al", "Al", "Al", "Al", "Al", "Cu"], "fractional_positions": [[0.0000, 0.0000, 0.0000], [0.0000, 0.0000, 0.5000], [0.0000, 0.5000, 0.0000], [0.0065, 0.6538, 0.6459], [0.2880, 0.5032, 0.7747], [0.3462, 0.9935, 0.3541], [0.4968, 0.7120, 0.2253], [0.5000, 0.0000, 0.0000], [0.5032, 0.2880, 0.7747], [0.6538, 0.0065, 0.6459], [0.7120, 0.4968, 0.2253], [0.9935, 0.3462, 0.3541], [0.5000, 0.5000, 0.5000]]}

---

# 3
{"formula": "KTePbBr", "functional": "PBE", "state": "relaxed", "total_magnetization_mub_per_cell": 0.00, "raw_formation_energy_ev_per_atom": -0.9976, "dft_energy_ev_per_atom": -3.403, "lattice_angstrom": [[4.6407, 0.0000, 0.0000], [-2.3203, 4.0189, 0.0000], [0.0000, 0.0000, 24.2508]], "species": ["K", "K", "K", "Te", "Te", "Te", "Pb", "Pb", "Pb", "Br", "Br", "Br"], "fractional_positions": [[0.0000, 0.0000, 0.0000], [0.3333, 0.6667, 0.6667], [0.6667, 0.3333, 0.3333], [0.0000, 0.0000, 0.7659], [0.3333, 0.6667, 0.4326], [0.6667, 0.3333, 0.0993], [0.0000, 0.0000, 0.5000], [0.3333, 0.6667, 0.1667], [0.6667, 0.3333, 0.8334], [0.0000, 0.0000, 0.2556], [0.3333, 0.6667, 0.9223], [0.6667, 0.3333, 0.5889]]}